P.
{"formula": "Fe5Pb", "functional": "PBE-GGA", "state": "optimized geometry", "magnetic_moment_mub_per_cell": 11.9, "vol_a3_per_cell": 82, "lattice_angstrom": [[2.629, 4.103, -1.403], [-3.660, -2.578, -2.381], [-2.897, 2.467, 1.784]], "species": ["Fe", "Fe", "Fe", "Fe", "Fe", "Pb"], "frac_coords": [[0.319, 0.681, 0.500], [0.179, 0.821, 0.000], [0.000, 0.000, 0.500], [0.821, 0.179, 0.000], [0.681, 0.319, 0.500], [0.500, 0.500, 0.000]]}


Q.
{"formula": "Fe5Pb", "functional": "PBE-GGA", "state": "optimized geometry", "magnetic_moment_mub_per_cell": 11.6, "vol_a3_per_cell": 86, "lattice_angstrom": [[2.448, -4.240, 0.000], [2.448, 4.240, 0.000], [0.000, 0.000, 4.132]], "species": ["Fe", "Fe", "Fe", "Fe", "Fe", "Pb"], "frac_coords": [[0.333, 0.667, 0.000], [0.667, 0.333, 0.000], [0.500, 0.000, 0.500], [0.000, 0.500, 0.500], [0.500, 0.500, 0.500], [0.000, 0.000, 0.000]]}


Which is the most stable structure? P is the most stable.


P.
{"formula": "FePtPb", "functional": "PBE-GGA", "state": "optimized geometry", "magnetic_moment_mub_per_cell": 3.4, "vol_a3_per_cell": 58, "lattice_angstrom": [[5.988, -0.002, 0.003], [5.117, 3.109, -0.004], [0.871, 0.249, 3.102]], "species": ["Fe", "Pb", "Pt"], "frac_coords": [[0.030, 0.030, 0.970], [0.334, 0.334, 0.666], [0.637, 0.637, 0.363]]}


Q.
{"formula": "FePtPb", "functional": "PBE-GGA", "state": "optimized geometry", "magnetic_moment_mub_per_cell": 5.9, "vol_a3_per_cell": 123, "lattice_angstrom": [[3.587, 0.000, 0.000], [-1.794, 3.815, 0.000], [0.000, 0.000, 9.005]], "species": ["Pt", "Pt", "Fe", "Fe", "Pb", "Pb"], "frac_coords": [[0.601, 0.203, 0.000], [0.286, 0.572, 0.500], [0.593, 0.186, 0.373], [0.593, 0.186, 0.627], [0.297, 0.593, 0.818], [0.297, 0.593, 0.182]]}


R.
{"formula": "FePtPb", "functional": "PBE-GGA", "state": "optimized geometry", "magnetic_moment_mub_per_cell": 3.2, "vol_a3_per_cell": 60, "lattice_angstrom": [[-0.342, 4.105, 1.087], [0.674, -2.949, 3.000], [3.747, 0.425, -0.425]], "species": ["Fe", "Pb", "Pt"], "frac_coords": [[0.000, 0.000, 0.893], [0.667, 0.333, 0.334], [0.333, 0.667, 0.773]]}


S.
{"formula": "FePtPb", "functional": "PBE-GGA", "state": "optimized geometry", "magnetic_moment_mub_per_cell": 3.4, "vol_a3_per_cell": 62, "lattice_angstrom": [[-4.232, 0.171, -1.373], [-1.241, -2.198, -3.668], [-2.596, -3.602, 0.335]], "species": ["Fe", "Pb", "Pt"], "frac_coords": [[0.000, 0.000, 0.000], [0.500, 0.500, 0.500], [0.750, 0.750, 0.750]]}


Which is the most stable structure? S is the most stable.


P.
{"formula": "FeRePb2", "functional": "PBE-GGA", "state": "optimized geometry", "magnetic_moment_mub_per_cell": 3.2, "vol_a3_per_cell": 82, "lattice_angstrom": [[-4.541, 1.165, -1.315], [-3.718, -2.870, 1.284], [-3.194, 1.508, 3.351]], "species": ["Fe", "Pb", "Pb", "Re"], "frac_coords": [[0.500, 0.500, 0.500], [0.000, 0.000, 0.000], [0.750, 0.750, 0.750], [0.250, 0.250, 0.250]]}


Q.
{"formula": "FeRePb2", "functional": "PBE-GGA", "state": "optimized geometry", "magnetic_moment_mub_per_cell": 3.0, "vol_a3_per_cell": 78, "lattice_angstrom": [[3.438, 0.000, 0.000], [0.000, 3.438, 0.000], [0.000, 0.000, 6.562]], "species": ["Fe", "Pb", "Pb", "Re"], "frac_coords": [[0.500, 0.500, 0.750], [0.000, 0.000, 0.001], [0.000, 0.000, 0.499], [0.500, 0.500, 0.250]]}


Which is the most stable structure? Q is the most stable.